Here is crystalline ErTmMgTc at its relaxed geometry from Alexandria. Energies are from PBE.

a b c (Å): 7.043 7.043 7.043
angles (deg): 90.00 90.00 90.00
Atoms (fractional coordinates):
Er (0.000, 0.000, 0.000)
Er (0.000, 0.500, 0.500)
Er (0.500, 0.000, 0.500)
Er (0.500, 0.500, 0.000)
Tm (0.000, 0.000, 0.500)
Tm (0.000, 0.500, 0.000)
Tm (0.500, 0.000, 0.000)
Tm (0.500, 0.500, 0.500)
Mg (0.250, 0.250, 0.750)
Mg (0.250, 0.750, 0.250)
Mg (0.750, 0.250, 0.250)
Mg (0.750, 0.750, 0.750)
Tc (0.250, 0.250, 0.250)
Tc (0.250, 0.750, 0.750)
Tc (0.750, 0.250, 0.750)
Tc (0.750, 0.750, 0.250)

Output
space-group type: F-43m
offset from the most stable computed form: 71.8 meV/atom
formation energy from the elements: -0.042 eV/atom

=====

Here is crystalline ErTmMgTc at its relaxed geometry from Alexandria. Energies are from PBE.

a b c (Å): 3.446 3.446 7.982
angles (deg): 90.00 90.00 90.00
Atoms (fractional coordinates):
Er (0.000, 0.000, 0.000)
Tm (0.000, 0.000, 0.402)
Mg (0.500, 0.500, 0.700)
Tc (0.500, 0.500, 0.203)

Output
space-group type: P4mm
offset from the most stable computed form: 0.0 meV/atom
formation energy from the elements: -0.114 eV/atom

=====

Here is crystalline YErMgTc at its relaxed geometry from Alexandria. Energies are from PBE.

a b c (Å): 7.100 7.100 7.100
angles (deg): 90.00 90.00 90.00
Atoms (fractional coordinates):
Y (0.000, 0.000, 0.000)
Y (0.000, 0.500, 0.500)
Y (0.500, 0.000, 0.500)
Y (0.500, 0.500, 0.000)
Er (0.000, 0.000, 0.500)
Er (0.000, 0.500, 0.000)
Er (0.500, 0.000, 0.000)
Er (0.500, 0.500, 0.500)
Mg (0.250, 0.250, 0.250)
Mg (0.250, 0.750, 0.750)
Mg (0.750, 0.250, 0.750)
Mg (0.750, 0.750, 0.250)
Tc (0.250, 0.250, 0.750)
Tc (0.250, 0.750, 0.250)
Tc (0.750, 0.250, 0.250)
Tc (0.750, 0.750, 0.750)

Output
space-group type: F-43m
formation energy from the elements: -0.019 eV/atom

=====

Here is crystalline ErMgZrTc at its relaxed geometry from Alexandria. Energies are from PBE.

a b c (Å): 6.908 6.908 6.908
angles (deg): 90.00 90.00 90.00
Atoms (fractional coordinates):
Er (0.000, 0.000, 0.000)
Er (0.000, 0.500, 0.500)
Er (0.500, 0.000, 0.500)
Er (0.500, 0.500, 0.000)
Mg (0.250, 0.250, 0.250)
Mg (0.250, 0.750, 0.750)
Mg (0.750, 0.250, 0.750)
Mg (0.750, 0.750, 0.250)
Zr (0.000, 0.000, 0.500)
Zr (0.000, 0.500, 0.000)
Zr (0.500, 0.000, 0.000)
Zr (0.500, 0.500, 0.500)
Tc (0.250, 0.250, 0.750)
Tc (0.250, 0.750, 0.250)
Tc (0.750, 0.250, 0.250)
Tc (0.750, 0.750, 0.750)

Output
space-group type: F-43m
formation energy from the elements: -0.069 eV/atom

=====

Here is crystalline Er2MgTe at its relaxed geometry from Alexandria. Energies are from PBE.

a b c (Å): 3.979 6.854 8.895
angles (deg): 74.92 89.95 89.96
Atoms (fractional coordinates):
Er (0.249, 0.491, 0.273)
Er (0.250, 0.003, 0.736)
Er (0.750, 0.997, 0.264)
Er (0.751, 0.509, 0.727)
Mg (0.250, 0.261, 0.998)
Mg (0.750, 0.739, 0.002)
Te (0.251, 0.755, 0.498)
Te (0.749, 0.245, 0.502)

Output
uncorrected formation energy: -0.51 eV/atom
space-group type: P-1
offset from the most stable computed form: 38.0 meV/atom

=====

Here is crystalline Er2MgTe at its relaxed geometry from Alexandria. Energies are from PBE.

a b c (Å): 3.827 3.827 31.689
angles (deg): 90.00 90.00 120.00
Atoms (fractional coordinates):
Er (0.000, 0.000, 0.102)
Er (0.000, 0.000, 0.898)
Er (0.333, 0.667, 0.564)
Er (0.333, 0.667, 0.769)
Er (0.667, 0.333, 0.231)
Er (0.667, 0.333, 0.436)
Mg (0.000, 0.000, 0.000)
Mg (0.333, 0.667, 0.667)
Mg (0.667, 0.333, 0.333)
Te (0.000, 0.000, 0.500)
Te (0.333, 0.667, 0.167)
Te (0.667, 0.333, 0.833)

Output
uncorrected formation energy: -0.17 eV/atom
space-group type: R-3m
offset from the most stable computed form: 385.6 meV/atom

=====

| no. | E_tot (eV per cell) |
| --- | --- |
| 1 | -84.66 |
| 2 | -21.45 |
| 3 | -92.25 |
| 4 | -101.39 |
| 5 | -31.83 |
| 6 | -43.58 |